Record 1
{"formula": "Tl2CuMoO4", "functional": "GGA+U", "state": "relaxed", "lattice_angstrom": [[0.000, 5.819, 10.969], [2.641, 0.000, 10.969], [2.641, 5.819, 0.000]], "species": ["Tl", "Tl", "Tl", "Tl", "Cu", "Cu", "Mo", "Mo", "O", "O", "O", "O", "O", "O", "O", "O"], "fractional_positions": [[0.022, 0.022, 0.728], [0.272, 0.272, 0.978], [0.728, 0.728, 0.022], [0.978, 0.978, 0.272], [0.125, 0.125, 0.125], [0.875, 0.875, 0.875], [0.375, 0.375, 0.375], [0.625, 0.625, 0.625], [0.033, 0.623, 0.541], [0.304, 0.541, 0.623], [0.377, 0.967, 0.696], [0.459, 0.696, 0.967], [0.541, 0.304, 0.033], [0.623, 0.033, 0.304], [0.696, 0.459, 0.377], [0.967, 0.377, 0.459]], "magmom_total_mub_per_fu": 0.00, "e_tot_ev_per_atom": -5.329}

Record 2
{"formula": "Tl3CuMo2O8", "functional": "GGA+U", "state": "relaxed", "lattice_angstrom": [[6.058, 0.000, 0.000], [-3.029, 5.247, 0.000], [0.000, 0.000, 7.777]], "species": ["Tl", "Tl", "Tl", "Cu", "Mo", "Mo", "O", "O", "O", "O", "O", "O", "O", "O"], "fractional_positions": [[0.000, 0.000, 0.000], [0.333, 0.667, 0.671], [0.667, 0.333, 0.329], [0.000, 0.000, 0.500], [0.333, 0.667, 0.235], [0.667, 0.333, 0.765], [0.170, 0.340, 0.314], [0.170, 0.830, 0.314], [0.333, 0.667, 0.005], [0.340, 0.170, 0.686], [0.660, 0.830, 0.314], [0.667, 0.333, 0.995], [0.830, 0.170, 0.686], [0.830, 0.660, 0.686]], "magmom_total_mub_per_fu": 0.12, "e_tot_ev_per_atom": -5.848}

Please write out number 2 again, unchanged.
{"formula": "Tl3CuMo2O8", "functional": "GGA+U", "state": "relaxed", "lattice_angstrom": [[6.058, 0.000, 0.000], [-3.029, 5.247, 0.000], [0.000, 0.000, 7.777]], "species": ["Tl", "Tl", "Tl", "Cu", "Mo", "Mo", "O", "O", "O", "O", "O", "O", "O", "O"], "fractional_positions": [[0.000, 0.000, 0.000], [0.333, 0.667, 0.671], [0.667, 0.333, 0.329], [0.000, 0.000, 0.500], [0.333, 0.667, 0.235], [0.667, 0.333, 0.765], [0.170, 0.340, 0.314], [0.170, 0.830, 0.314], [0.333, 0.667, 0.005], [0.340, 0.170, 0.686], [0.660, 0.830, 0.314], [0.667, 0.333, 0.995], [0.830, 0.170, 0.686], [0.830, 0.660, 0.686]], "magmom_total_mub_per_fu": 0.12, "e_tot_ev_per_atom": -5.848}